Arrangement 1

PmPuSc2: optimized geometry, PBE.

Calculated values
**Volume**: 27.05 Å³/atom

Cell lengths 11.831, 11.831, 11.831 Å; angles 15.89, 15.89, 15.89 degrees
Fractional coordinates of all 4 atoms:
1 Pm 0.000 0.000 0.000
2 Pu 0.500 0.500 0.500
3 Sc 0.093 0.093 0.093
4 Sc 0.907 0.907 0.907



Arrangement 2

PmPuSc2: optimized geometry, PBE.

Calculated values
**Volume**: 27.40 Å³/atom

Cell lengths 5.372, 5.372, 5.372 Å; angles 60.00, 60.00, 60.00 degrees
Fractional coordinates of all 4 atoms:
1 Pm 0.000 0.000 0.000
2 Pu 0.500 0.500 0.500
3 Sc 0.250 0.250 0.250
4 Sc 0.750 0.750 0.750



Question: of the structures shown, which is the least stable? Reply: arrangement 1.